(1)
Here is a relaxed structure of BaAgP from the Alexandria database. Energies are from PBE.

a = 6.471 Å, b = 4.576 Å, c = 8.357 Å
α = 105.87°, β = 112.75°, γ = 44.99°
Atoms (fractional coordinates):
1 Ag 0.931 0.631 0.138
2 P 0.695 0.132 0.667
3 P 0.845 0.131 0.967
4 Ag 0.109 0.631 0.496
5 Ba 0.520 0.631 0.317
6 Ba 0.270 0.132 0.817

## Properties
Its space-group type is No. 119.



(2)
Here is a relaxed structure of NaGa2Ir2 from the Alexandria database. Energies are from PBE.

a = 4.212 Å, b = 4.212 Å, c = 6.034 Å
α = 69.57°, β = 69.57°, γ = 90.00°
Atoms (fractional coordinates):
1 Na 0.000 0.000 0.000
2 Ir 0.618 0.618 0.764
3 Ga 0.750 0.250 0.500
4 Ga 0.250 0.750 0.500
5 Ir 0.382 0.382 0.236

## Properties
Its space-group type is No. 139. The value obtained for the excess energy over the best structure of this formula in the dataset is 0.78 eV/f.u.



(3)
Here is a relaxed structure of Te2AsS from the Alexandria database. Energies are from PBE.

a = 8.887 Å, b = 8.887 Å, c = 8.887 Å
α = 26.18°, β = 26.18°, γ = 26.18°
Atoms (fractional coordinates):
1 Te 0.903 0.903 0.903
2 As 0.500 0.500 0.500
3 S 0.000 0.000 0.000
4 Te 0.097 0.097 0.097

## Properties
Its space-group type is No. 166. The calculation puts the formation energy (no corrections) at 0.27 eV per atom. The value obtained for the excess energy over the best structure of this formula in the dataset is 0.00 eV/f.u.



(4)
Here is a relaxed structure of BaMn2Te from the Alexandria database. Energies are from PBE.

a = 3.724 Å, b = 3.724 Å, c = 7.589 Å
α = 90.00°, β = 90.00°, γ = 90.00°
Site moments in Bohr magnetons follow the coordinates.
Atoms (fractional coordinates):
1 Te 0.000 0.000 0.427  0.00
2 Ba 0.500 0.500 0.759  -0.03
3 Mn 0.000 0.000 0.073  3.79
4 Mn 0.500 0.500 0.241  3.81

## Properties
Its space-group type is No. 99. The calculation puts the formation energy (no corrections) at 0.15 eV per atom.



(5)
Here is a relaxed structure of Cs3Sb2Br9 from the Alexandria database. Energies are from PBE.

a = 10.534 Å, b = 10.534 Å, c = 10.534 Å
α = 81.56°, β = 81.56°, γ = 81.56°
Atoms (fractional coordinates):
1 Sb 0.157 0.157 0.157
2 Br 0.757 0.421 0.592
3 Br 0.421 0.592 0.757
4 Br 0.921 0.257 0.092
5 Br 0.092 0.921 0.257
6 Sb 0.657 0.657 0.657
7 Br 0.250 0.420 0.080
8 Br 0.908 0.079 0.743
9 Br 0.080 0.250 0.420
10 Cs 0.750 0.081 0.419
11 Cs 0.419 0.750 0.081
12 Br 0.750 0.580 0.920
13 Br 0.592 0.757 0.421
14 Sb 0.843 0.843 0.843
15 Cs 0.081 0.419 0.750
16 Br 0.420 0.080 0.250
17 Cs 0.919 0.581 0.250
18 Br 0.079 0.743 0.908
19 Br 0.243 0.579 0.408
20 Br 0.743 0.908 0.079
21 Cs 0.581 0.250 0.919
22 Br 0.408 0.243 0.579
23 Br 0.257 0.092 0.921
24 Cs 0.250 0.919 0.581
25 Br 0.920 0.750 0.580
26 Sb 0.343 0.343 0.343
27 Br 0.580 0.920 0.750
28 Br 0.579 0.408 0.243

## Properties
Its space-group type is No. 167. The calculation puts the formation energy (no corrections) at -1.18 eV per atom. The value obtained for the excess energy over the best structure of this formula in the dataset is 0.18 eV/f.u.



(6)
Here is a relaxed structure of Cs5CdAu3 from the Alexandria database. Energies are from PBE.

a = 9.011 Å, b = 9.011 Å, c = 14.158 Å
α = 111.44°, β = 104.79°, γ = 91.40°
Atoms (fractional coordinates):
1 Cs 0.233 0.310 0.543
2 Cs 0.242 0.704 0.946
3 Cs 0.767 0.690 0.457
4 Au 0.000 0.000 0.000
5 Cd 0.121 0.100 0.221
6 Au 0.964 0.357 0.320
7 Cs 0.729 0.729 0.000
8 Cs 0.794 0.310 0.701
9 Au 0.534 0.645 0.179
10 Cs 0.206 0.690 0.299
11 Cs 0.758 0.296 0.054
12 Au 0.036 0.643 0.680
13 Cd 0.879 0.900 0.779
14 Cs 0.391 0.907 0.701
15 Au 0.466 0.355 0.821
16 Cs 0.609 0.093 0.299
17 Au 0.500 0.000 0.500
18 Cs 0.271 0.271 0.000

## Properties
Its space-group type is No. 12.



(7)
Here is a relaxed structure of FeSi2Au from the Alexandria database. Energies are from PBE.

a = 3.303 Å, b = 3.302 Å, c = 5.097 Å
α = 90.00°, β = 90.00°, γ = 90.00°
Site moments in Bohr magnetons follow the coordinates.
Atoms (fractional coordinates):
1 Fe 0.500 0.500 0.811  1.08
2 Au 0.000 0.000 0.471  -0.03
3 Si 0.500 0.500 0.255  -0.02
4 Si 0.000 0.000 0.963  -0.02

## Properties
Its space-group type is No. 99. The calculation puts the formation energy (no corrections) at -0.02 eV per atom. The value obtained for the excess energy over the best structure of this formula in the dataset is 0.23 eV/f.u.



(8)
Here is a relaxed structure of Ba2MgTiTl from the Alexandria database. Energies are from PBE.

a = 6.240 Å, b = 5.423 Å, c = 6.240 Å
α = 90.00°, β = 90.00°, γ = 90.00°
Site moments in Bohr magnetons follow the coordinates.
Atoms (fractional coordinates):
1 Ba 0.000 0.000 0.500  0.16
2 Mg 0.500 0.500 0.500  0.00
3 Ba 0.500 0.000 0.000  0.10
4 Ti 0.000 0.000 0.000  1.60
5 Tl 0.000 0.500 0.000  0.04

## Properties
Its space-group type is No. 123.



The evaluated E_tot for the records listed, in turn: -3.999; -5.203; -3.493; -5.705; -3.023; -1.857; -5.670; -2.678 eV per atom.